No. 1
{
  "formula": "In5CuRh6",
  "functional": "PBE",
  "state": "relaxed",
  "spacegroup": "No. 65",
  "formation_energy_mev_per_atom": -367,
  "energy_ev_per_atom": -5.525,
  "lattice": [[-0.902, -1.628, 4.128], [-3.597, -4.612, -2.605], [5.004, -4.842, 1.664]],
  "species": ["Rh", "Rh", "Rh", "Rh", "Rh", "Rh", "Cu", "In", "In", "In", "In", "In"],
  "frac_coords": [[0.834, 0.754, 0.332], [0.834, 0.246, 0.332], [0.500, 0.249, 0.000], [0.500, 0.751, 0.000], [0.166, 0.754, 0.668], [0.166, 0.246, 0.668], [0.000, 0.000, 0.000], [0.667, 0.500, 0.665], [0.338, 0.000, 0.323], [0.000, 0.500, 0.000], [0.662, 0.000, 0.677], [0.333, 0.500, 0.335]]
}

=====

No. 2
{
  "formula": "InCu2Rh",
  "functional": "PBE",
  "state": "relaxed",
  "spacegroup": "No. 160",
  "formation_energy_mev_per_atom": 165,
  "energy_ev_per_atom": -4.405,
  "lattice": [[8.493, -0.010, -0.006], [7.992, 2.872, -0.006], [7.992, 1.388, 2.515]],
  "species": ["Cu", "Cu", "In", "Rh"],
  "frac_coords": [[0.998, 0.998, 0.998], [0.256, 0.256, 0.256], [0.499, 0.499, 0.499], [0.746, 0.746, 0.746]]
}

=====

No. 3
{
  "formula": "InCu2Rh",
  "functional": "PBE",
  "state": "relaxed",
  "spacegroup": "No. 139",
  "formation_energy_mev_per_atom": -81,
  "energy_ev_per_atom": -4.652,
  "lattice": [[4.777, -0.001, 0.000], [1.608, 4.498, 0.000], [-3.192, -2.249, 2.751]],
  "species": ["Cu", "Cu", "In", "Rh"],
  "frac_coords": [[0.000, 0.000, 0.000], [0.500, 0.500, 0.000], [0.250, 0.750, 0.500], [0.750, 0.250, 0.500]]
}

=====

No. 4
{
  "formula": "In2CuRh2",
  "functional": "PBE",
  "state": "relaxed",
  "spacegroup": "No. 127",
  "formation_energy_mev_per_atom": -220,
  "energy_ev_per_atom": -5.076,
  "e_above_lowest_polymorph_mev_per_atom": 0,
  "lattice": [[-0.255, -6.595, 1.156], [2.700, 0.957, 6.057], [-3.565, 0.405, 1.525]],
  "species": ["Rh", "Rh", "Rh", "Rh", "Cu", "Cu", "In", "In", "In", "In"],
  "frac_coords": [[0.358, 0.858, 0.000], [0.858, 0.642, 0.000], [0.642, 0.142, 0.000], [0.142, 0.358, 0.000], [0.000, 0.000, 0.000], [0.500, 0.500, 0.000], [0.164, 0.664, 0.500], [0.664, 0.836, 0.500], [0.836, 0.336, 0.500], [0.336, 0.164, 0.500]]
}

=====

No. 5
{
  "formula": "InCu2Rh",
  "functional": "PBE",
  "state": "relaxed",
  "spacegroup": "No. 123",
  "formation_energy_mev_per_atom": 43,
  "energy_ev_per_atom": -4.527,
  "lattice": [[-2.150, -1.684, -1.768], [2.289, -2.212, -0.676], [-1.484, -2.942, 4.606]],
  "species": ["Cu", "Cu", "In", "Rh"],
  "frac_coords": [[0.000, 0.000, 0.981], [0.000, 0.000, 0.519], [0.500, 0.500, 0.250], [0.500, 0.500, 0.750]]
}

=====

No. 6
{
  "formula": "InCu2Rh",
  "functional": "PBE",
  "state": "relaxed",
  "spacegroup": "No. 119",
  "formation_energy_mev_per_atom": -122,
  "energy_ev_per_atom": -4.693,
  "lattice": [[4.693, -0.008, -0.027], [1.361, 4.491, 0.027], [-3.012, -2.262, 2.799]],
  "species": ["Rh", "Cu", "Cu", "In"],
  "frac_coords": [[0.250, 0.750, 0.500], [0.000, 0.000, 0.000], [0.750, 0.250, 0.500], [0.500, 0.500, 0.000]]
}

=====

No. 7
{
  "formula": "InCu2Rh",
  "functional": "PBE",
  "state": "relaxed",
  "spacegroup": "No. 12",
  "formation_energy_mev_per_atom": 25,
  "energy_ev_per_atom": -4.546,
  "lattice": [[-3.085, -4.056, 1.546], [4.211, -0.869, -3.141], [1.765, -1.732, 1.570]],
  "species": ["Cu", "Cu", "In", "Rh"],
  "frac_coords": [[0.000, 0.000, 0.000], [0.500, 0.500, 0.000], [0.500, 0.000, 0.500], [0.000, 0.500, 0.500]]
}

=====

No. 8
{
  "formula": "In4CuRh3",
  "functional": "PBE",
  "state": "relaxed",
  "spacegroup": "No. 12",
  "formation_energy_mev_per_atom": -278,
  "energy_ev_per_atom": -4.916,
  "lattice": [[4.292, 0.000, -1.158], [-0.309, 4.284, -1.145], [-0.248, -0.302, 7.610]],
  "species": ["Rh", "Rh", "Rh", "Cu", "In", "In", "In", "In"],
  "frac_coords": [[0.000, 0.500, 0.000], [0.755, 0.255, 0.509], [0.245, 0.745, 0.491], [0.500, 0.000, 0.000], [0.374, 0.374, 0.748], [0.626, 0.626, 0.252], [0.126, 0.126, 0.252], [0.874, 0.874, 0.748]]
}

=====

No. 9
{
  "formula": "InCu3Rh",
  "functional": "PBE",
  "state": "relaxed",
  "spacegroup": "No. 221",
  "formation_energy_mev_per_atom": 796,
  "energy_ev_per_atom": -3.679,
  "e_above_lowest_polymorph_mev_per_atom": 0,
  "lattice": [[4.668, 0.000, 0.000], [0.000, 4.668, 0.000], [0.000, 0.000, 4.668]],
  "species": ["Rh", "Cu", "Cu", "Cu", "In"],
  "frac_coords": [[0.000, 0.000, 0.000], [0.000, 0.500, 0.000], [0.000, 0.000, 0.500], [0.500, 0.000, 0.000], [0.500, 0.500, 0.500]]
}

=====

No. 10
{
  "formula": "InCu2Rh",
  "functional": "PBE",
  "state": "relaxed",
  "spacegroup": "No. 216",
  "formation_energy_mev_per_atom": -75,
  "energy_ev_per_atom": -4.645,
  "lattice": [[4.384, 0.000, 0.000], [2.192, 3.797, 0.000], [2.192, 1.266, 3.580]],
  "species": ["Cu", "Cu", "In", "Rh"],
  "frac_coords": [[0.000, 0.000, 0.000], [0.250, 0.250, 0.250], [0.500, 0.500, 0.500], [0.750, 0.750, 0.750]]
}

=====

No. 11
{
  "formula": "In3CuRh4",
  "functional": "PBE",
  "state": "relaxed",
  "spacegroup": "No. 123",
  "formation_energy_mev_per_atom": -322,
  "energy_ev_per_atom": -5.537,
  "lattice": [[4.508, 0.000, 0.000], [0.000, 6.336, 0.000], [0.000, 0.000, 9.015]],
  "species": ["Rh", "Rh", "Rh", "Rh", "Rh", "Rh", "Rh", "Rh", "Cu", "Cu", "In", "In", "In", "In", "In", "In"],
  "frac_coords": [[0.500, 0.743, 0.000], [0.500, 0.743, 0.500], [0.500, 0.257, 0.000], [0.500, 0.257, 0.500], [0.000, 0.743, 0.750], [0.000, 0.743, 0.250], [0.000, 0.257, 0.250], [0.000, 0.257, 0.750], [0.000, 0.500, 0.000], [0.000, 0.500, 0.500], [0.000, 0.000, 0.000], [0.000, 0.000, 0.500], [0.500, 0.000, 0.750], [0.500, 0.000, 0.250], [0.500, 0.500, 0.750], [0.500, 0.500, 0.250]]
}

=====

No. 12
{
  "formula": "InCu2Rh",
  "functional": "PBE",
  "state": "relaxed",
  "spacegroup": "No. 122",
  "formation_energy_mev_per_atom": 151,
  "energy_ev_per_atom": -4.420,
  "lattice": [[3.741, 0.000, 0.000], [0.000, 3.741, 0.000], [1.871, 1.871, 9.328]],
  "species": ["Rh", "Rh", "Cu", "Cu", "Cu", "Cu", "In", "In"],
  "frac_coords": [[0.500, 0.500, 0.000], [0.250, 0.750, 0.500], [0.605, 0.125, 0.250], [0.145, 0.625, 0.250], [0.375, 0.395, 0.750], [0.875, 0.855, 0.750], [0.000, 0.000, 0.000], [0.750, 0.250, 0.500]]
}

=====

Calculated density of states at the Fermi level, 0.219 0.813 0.405 0.389 0.758 0.344 0.509 0.460 1.008 0.858 0.422 0.392 states/eV/atom (same order as the records).
Calculated magnetization, 0.000 0.000 0.000 0.000 0.000 0.000 0.000 0.000 0.000 0.000 0.000 0.000 μB/atom (same order as the records).